*1*
A plane-wave DFT calculation with PBE-GGA was carried out for a relaxed structure of K2NiRu.

Output
- Total magnetization: 1.88 μB/cell
- DOS(E_F): 4.502 states/eV/cell

Unit cell a=4.1157 b=4.1157 c=9.6727 alpha=80.12 beta=80.12 gamma=57.57
Fractional coordinates of all 4 atoms:
1 K 0.8094 0.8094 0.6337
2 Ru 0.2107 0.2107 0.3750
3 Ni 0.5356 0.5356 0.3749
4 K 0.9444 0.9444 0.1163

*2*
A plane-wave DFT calculation with PBE-GGA was carried out for a relaxed structure of K2NiRu.

Output
- Total magnetization: 2.09 μB/cell
- DOS(E_F): 3.550 states/eV/cell

Unit cell a=5.4019 b=3.9959 c=3.9959 alpha=90.00 beta=90.00 gamma=90.00
Fractional coordinates of all 4 atoms:
1 K 0.0000 0.0000 0.0000
2 Ru 0.5000 0.0000 0.5000
3 Ni 0.5000 0.5000 0.0000
4 K 0.0000 0.5000 0.5000

Most stable one: *1*, least stable one: *2*.

*1*
A plane-wave DFT calculation with PBE-GGA was carried out for a relaxed structure of K2NiRu.

Output
- Total magnetization: 1.51 μB/cell
- DOS(E_F): 4.640 states/eV/cell

Unit cell a=3.3565 b=3.3565 c=10.0911 alpha=90.00 beta=90.00 gamma=90.00
Fractional coordinates of all 4 atoms:
1 K 0.0000 0.0000 0.9087
2 K 0.5000 0.5000 0.3453
3 Ni 0.0000 0.0000 0.5909
4 Ru 0.5000 0.5000 0.6551

*2*
A plane-wave DFT calculation with PBE-GGA was carried out for a relaxed structure of K2NiRu.

Output
- Total magnetization: 2.40 μB/cell
- DOS(E_F): 3.170 states/eV/cell

Unit cell a=10.2831 b=10.2831 c=10.2831 alpha=161.60 beta=159.38 gamma=27.77
Fractional coordinates of all 4 atoms:
1 Ni 0.7500 0.2500 0.5000
2 Ru 0.2500 0.7500 0.5000
3 K 0.8907 0.8907 0.0000
4 K 0.6093 0.6093 0.0000

Most stable one: *1*, least stable one: *2*.

*1*
A plane-wave DFT calculation with PBE-GGA was carried out for a relaxed structure of KNi3Ru.

Output
- Total magnetization: 3.25 μB/cell
- DOS(E_F): 5.347 states/eV/cell

Unit cell a=4.3809 b=4.3809 c=4.3809 alpha=90.00 beta=90.00 gamma=90.00
Fractional coordinates of all 5 atoms:
1 K 0.0000 0.0000 0.0000
2 Ni 0.0000 0.5000 0.0000
3 Ni 0.0000 0.0000 0.5000
4 Ru 0.5000 0.5000 0.5000
5 Ni 0.5000 0.0000 0.0000

*2*
A plane-wave DFT calculation with PBE-GGA was carried out for a relaxed structure of KNi3Ru.

Output
- Total magnetization: 0.57 μB/cell
- DOS(E_F): 8.610 states/eV/cell

Unit cell a=4.6274 b=4.6274 c=4.6274 alpha=90.00 beta=90.00 gamma=90.00
Fractional coordinates of all 5 atoms:
1 Ni 0.5000 0.0000 0.0000
2 Ru 0.0000 0.0000 0.0000
3 Ni 0.0000 0.0000 0.5000
4 K 0.5000 0.5000 0.5000
5 Ni 0.0000 0.5000 0.0000

Most stable one: *2*, least stable one: *1*.

*1*
A plane-wave DFT calculation with PBE-GGA was carried out for a relaxed structure of KNi2SeS.

Output
- Total magnetization: 2.77 μB/cell
- DOS(E_F): 11.988 states/eV/cell

Unit cell a=3.8858 b=7.1681 c=7.7719 alpha=105.07 beta=90.00 gamma=90.00
Fractional coordinates of all 10 atoms:
1 K 0.7500 0.9420 0.2464
2 S 0.2500 0.6844 0.4252
3 K 0.2500 0.0580 0.7536
4 Ni 0.7500 0.4937 0.8524
5 Ni 0.2500 0.4869 0.6105
6 S 0.7500 0.3156 0.5748
7 Se 0.2500 0.6871 0.9256
8 Ni 0.2500 0.5063 0.1476
9 Ni 0.7500 0.5131 0.3895
10 Se 0.7500 0.3129 0.0744

*2*
A plane-wave DFT calculation with PBE-GGA was carried out for a relaxed structure of KNi2SeS.

Output
- Total magnetization: 0.82 μB/cell
- DOS(E_F): 4.542 states/eV/cell

Unit cell a=4.4351 b=5.5378 c=4.4351 alpha=90.00 beta=90.00 gamma=90.00
Fractional coordinates of all 5 atoms:
1 Ni 0.5000 0.0000 0.0000
2 Se 0.0000 0.0000 0.0000
3 S 0.0000 0.5000 0.0000
4 K 0.5000 0.5000 0.5000
5 Ni 0.0000 0.0000 0.5000

Most stable one: *1*, least stable one: *2*.